Entry 1:
First-principles (PBE) data for a geometry-optimized KZrInSe3 structure, as listed in OQMD.

Summary:
Volume ... 27.553 Å³ per atom
Uncorrected energy ... -55.48 eV for the cell shown
Total magnetic moment ... 0.3 μB/f.u.

Lattice parameters (Å, degrees): 8.3807 8.3807 10.2428 90.00 90.00 152.64
With the nearest neighbours (Å) after each atom.
Fractional coordinates of all 12 atoms:
K: 0.2361 0.7639 0.7500  8 Se 3.46-3.72
K: 0.7639 0.2361 0.2500  8 Se 3.46-3.72
Zr: 0.0000 0.0000 0.0000  6 Se 2.82-2.95
Zr: 0.0000 0.0000 0.5000  6 Se 2.82-2.95
In: 0.4723 0.5277 0.2500  4 Se 2.68-2.76
In: 0.5277 0.4723 0.7500  4 Se 2.68-2.76
Se: 0.0899 0.9101 0.2500  2 In 2.76, 2 Zr 2.95
Se: 0.3784 0.6216 0.0345  1 In 2.68, 2 Zr 2.82
Se: 0.3784 0.6216 0.4655  1 In 2.68, 2 Zr 2.82
Se: 0.6216 0.3784 0.5345  1 In 2.68, 2 Zr 2.82
Se: 0.6216 0.3784 0.9655  1 In 2.68, 2 Zr 2.82
Se: 0.9101 0.0899 0.7500  2 In 2.76, 2 Zr 2.95



Entry 2:
First-principles (PBE) data for a geometry-optimized KSmIn structure, as listed in OQMD.

Summary:
Volume ... 44.078 Å³ per atom
Uncorrected energy ... -7.08 eV for the cell shown
Total magnetic moment ... 0.0 μB/f.u.

Lattice parameters (Å, degrees): 5.7186 5.7186 5.7186 60.00 60.00 60.00
With the nearest neighbours (Å) after each atom.
Fractional coordinates of all 3 atoms:
K: 0.0000 0.0000 0.0000  4 Sm 3.50
Sm: 0.7500 0.7500 0.7500  4 K 3.50, 4 In 3.50
In: 0.5000 0.5000 0.5000  4 Sm 3.50



Entry 3:
First-principles (PBE) data for a geometry-optimized KTbIn structure, as listed in OQMD.

Summary:
Volume ... 39.116 Å³ per atom
Uncorrected energy ... -7.52 eV for the cell shown
Total magnetic moment ... 0.0 μB/f.u.

Lattice parameters (Å, degrees): 5.4954 5.4954 5.4954 60.00 60.00 60.00
With the nearest neighbours (Å) after each atom.
Fractional coordinates of all 3 atoms:
K: 0.0000 0.0000 0.0000  4 In 3.37
Tb: 0.5000 0.5000 0.5000  4 In 3.37
In: 0.2500 0.2500 0.2500  4 Tb 3.37, 4 K 3.37



Entry 4:
First-principles (PBE) data for a geometry-optimized KTbIn structure, as listed in OQMD.

Summary:
Volume ... 33.628 Å³ per atom
Uncorrected energy ... -17.03 eV for the cell shown
Total magnetic moment ... 0.0 μB/f.u.

Lattice parameters (Å, degrees): 9.1301 9.1301 4.9024 90.00 90.00 150.41
With the nearest neighbours (Å) after each atom.
Fractional coordinates of all 6 atoms:
K: 0.0000 0.0000 0.0000  4 K 3.38
K: 0.5000 0.5000 0.5000  4 K 3.38
Tb: 0.1818 0.8182 0.5000  2 Tb 3.35, 6 In 3.38
Tb: 0.8182 0.1818 0.5000  2 Tb 3.35, 6 In 3.38
In: 0.3139 0.6861 0.0000  2 In 3.24, 6 Tb 3.38
In: 0.6861 0.3139 0.0000  2 In 3.24, 6 Tb 3.38



Entry 5:
First-principles (PBE) data for a geometry-optimized KTbInTe3 structure, as listed in OQMD.

Summary:
Volume ... 37.709 Å³ per atom
Uncorrected energy ... -46.40 eV for the cell shown
Total magnetic moment ... 0.0 μB/f.u.

Lattice parameters (Å, degrees): 8.4194 8.4194 11.9534 90.00 90.00 147.72
With the nearest neighbours (Å) after each atom.
Fractional coordinates of all 12 atoms:
K: 0.2431 0.7569 0.7500  8 Te 3.75-4.01, 2 In 4.09
K: 0.7569 0.2431 0.2500  8 Te 3.75-4.01, 2 In 4.09
Tb: 0.0000 0.0000 0.0000  6 Te 3.17-3.23
Tb: 0.0000 0.0000 0.5000  6 Te 3.17-3.23
In: 0.4642 0.5358 0.2500  4 Te 2.95-2.96
In: 0.5358 0.4642 0.7500  4 Te 2.95-2.96
Te: 0.0756 0.9244 0.2500  2 In 2.95, 2 Tb 3.23
Te: 0.3706 0.6294 0.0375  1 In 2.96, 2 Tb 3.17
Te: 0.3706 0.6294 0.4625  1 In 2.96, 2 Tb 3.17
Te: 0.6294 0.3706 0.5375  1 In 2.96, 2 Tb 3.17
Te: 0.6294 0.3706 0.9625  1 In 2.96, 2 Tb 3.17
Te: 0.9244 0.0756 0.7500  2 In 2.95, 2 Tb 3.23



Entry 6:
First-principles (PBE) data for a geometry-optimized KInTc structure, as listed in OQMD.

Summary:
Volume ... 33.550 Å³ per atom
Uncorrected energy ... -9.01 eV for the cell shown
Total magnetic moment ... 3.3 μB/f.u.

Lattice parameters (Å, degrees): 5.2213 5.2213 5.2213 60.00 60.00 60.00
With the nearest neighbours (Å) after each atom.
Fractional coordinates of all 3 atoms:
K: 0.0000 0.0000 0.0000  4 In 3.20, 4 Tc 3.20
In: 0.7500 0.7500 0.7500  4 K 3.20
Tc: 0.2500 0.2500 0.2500  4 K 3.20



Entry 7:
First-principles (PBE) data for a geometry-optimized KZnInTe3 structure, as listed in OQMD.

Summary:
Volume ... 33.073 Å³ per atom
Uncorrected energy ... -35.56 eV for the cell shown

Lattice parameters (Å, degrees): 8.0378 8.0378 11.9032 90.00 90.00 148.93
With the nearest neighbours (Å) after each atom.
Fractional coordinates of all 12 atoms:
K: 0.2495 0.7505 0.7500  6 Te 3.57-3.69, 2 Zn 3.91
K: 0.7505 0.2495 0.2500  6 Te 3.57-3.69, 2 Zn 3.91
Zn: 0.0399 0.9601 0.2500  4 Te 2.69-2.70
Zn: 0.9601 0.0399 0.7500  4 Te 2.69-2.70
In: 0.5000 0.5000 0.0000  6 Te 3.00-3.14
In: 0.5000 0.5000 0.5000  6 Te 3.00-3.14
Te: 0.1278 0.8722 0.0548  1 Zn 2.69, 2 In 3.00
Te: 0.1278 0.8722 0.4452  1 Zn 2.69, 2 In 3.00
Te: 0.4344 0.5656 0.2500  2 Zn 2.70
Te: 0.5656 0.4344 0.7500  2 Zn 2.70
Te: 0.8722 0.1278 0.5548  1 Zn 2.69, 2 In 3.00
Te: 0.8722 0.1278 0.9452  1 Zn 2.69, 2 In 3.00



Entry 8:
First-principles (PBE) data for a geometry-optimized KThIn structure, as listed in OQMD.

Summary:
Volume ... 38.755 Å³ per atom
Uncorrected energy ... -9.57 eV for the cell shown
Total magnetic moment ... 0.0 μB/f.u.

Lattice parameters (Å, degrees): 5.4784 5.4784 5.4784 60.00 60.00 60.00
With the nearest neighbours (Å) after each atom.
Fractional coordinates of all 3 atoms:
K: 0.0000 0.0000 0.0000  4 In 3.35
Th: 0.5000 0.5000 0.5000  4 In 3.35
In: 0.2500 0.2500 0.2500  4 Th 3.35, 4 K 3.35



Entry 9:
First-principles (PBE) data for a geometry-optimized KUIn structure, as listed in OQMD.

Summary:
Volume ... 40.066 Å³ per atom
Uncorrected energy ... -11.60 eV for the cell shown
Total magnetic moment ... 3.3 μB/f.u.

Lattice parameters (Å, degrees): 5.5395 5.5395 5.5395 60.00 60.00 60.00
With the nearest neighbours (Å) after each atom.
Fractional coordinates of all 3 atoms:
K: 0.0000 0.0000 0.0000  4 In 3.39
U: 0.5000 0.5000 0.5000  4 In 3.39
In: 0.2500 0.2500 0.2500  4 U 3.39, 4 K 3.39



Entry 10:
First-principles (PBE) data for a geometry-optimized LiLaIn4Pd2 structure, as listed in OQMD.

Summary:
Volume ... 22.796 Å³ per atom
Uncorrected energy ... -32.54 eV for the cell shown
Total magnetic moment ... 0.0 μB/f.u.

Lattice parameters (Å, degrees): 7.8748 5.5808 5.5808 48.03 90.00 90.00
With the nearest neighbours (Å) after each atom.
Fractional coordinates of all 8 atoms:
Li: 0.0000 0.0000 0.0000  1 Pd 2.79
La: 0.5000 0.1352 0.1352  3 Pd 2.90-3.16
In: 0.1880 0.7148 0.7148  3 Pd 2.78-2.82, 2 In 2.96-3.03
In: 0.2858 0.4277 0.4277  3 Pd 2.74-2.94, 1 In 3.03
In: 0.7142 0.4277 0.4277  3 Pd 2.74-2.94, 1 In 3.03
In: 0.8120 0.7148 0.7148  3 Pd 2.78-2.82, 2 In 2.96-3.03
Pd: 0.0000 0.2736 0.2736  6 In 2.74-2.78, 1 Li 2.79
Pd: 0.5000 0.8510 0.8510  6 In 2.82-2.94, 1 La 2.90



Entry 11:
First-principles (PBE) data for a geometry-optimized LaLuIn2Ni4 structure, as listed in OQMD.

Summary:
Volume ... 18.325 Å³ per atom
Uncorrected energy ... -40.73 eV for the cell shown
Total magnetic moment ... 0.0 μB/f.u.

Lattice parameters (Å, degrees): 4.0190 5.1581 7.0718 90.00 90.00 90.00
With the nearest neighbours (Å) after each atom.
Fractional coordinates of all 8 atoms:
La: 0.0000 0.0000 0.0000  3 Ni 2.70-2.80
Lu: 0.0000 0.5000 0.4722  7 Ni 2.64-2.95
In: 0.5000 0.0000 0.3861  4 Ni 2.59-2.73
In: 0.5000 0.5000 0.0955  4 Ni 2.68-2.91
Ni: 0.0000 0.0000 0.6177  4 Ni 2.53, 2 In 2.59, 1 La 2.70, 2 Lu 2.78
Ni: 0.0000 0.5000 0.8452  4 Ni 2.51, 1 Lu 2.64, 2 In 2.68, 2 La 2.80
Ni: 0.5000 0.2606 0.7223  6 Ni 2.47-2.69, 1 In 2.73
Ni: 0.5000 0.7394 0.7223  6 Ni 2.47-2.69, 1 In 2.73



Entry 12:
First-principles (PBE) data for a geometry-optimized La2NdMg3TlIn2 structure, as listed in OQMD.

Summary:
Volume ... 28.204 Å³ per atom
Uncorrected energy ... -30.80 eV for the cell shown
Total magnetic moment ... 0.0 μB/f.u.

Lattice parameters (Å, degrees): 4.8176 7.7866 7.7866 119.66 90.00 90.00
With the nearest neighbours (Å) after each atom.
Fractional coordinates of all 9 atoms:
La: 0.0000 0.2143 0.7857  1 Tl 3.35, 4 In 3.36, 2 Mg 3.52
La: 0.0000 0.7857 0.2143  1 Tl 3.35, 4 In 3.36, 2 Mg 3.52
Nd: 0.0000 0.3600 0.3600  1 Tl 3.31, 4 In 3.32, 2 Mg 3.54
Mg: 0.5000 0.0289 0.0289  2 In 2.99, 2 Tl 3.08, 2 Mg 3.29
Mg: 0.5000 0.5427 0.7846  2 In 3.01-3.04, 2 Tl 3.05, 2 Mg 3.26-3.29
Mg: 0.5000 0.7846 0.5427  2 In 3.01-3.04, 2 Tl 3.05, 2 Mg 3.26-3.29
Tl: 0.0000 0.7830 0.7830  6 Mg 3.05-3.08, 1 Nd 3.31, 2 La 3.35
In: 0.5000 0.1216 0.4504  3 Mg 2.99-3.04, 2 Nd 3.32
In: 0.5000 0.4504 0.1216  3 Mg 2.99-3.04, 2 Nd 3.32



Entry 13:
First-principles (PBE) data for a geometry-optimized LaNd2Mg3Tl2In structure, as listed in OQMD.

Summary:
Volume ... 27.786 Å³ per atom
Uncorrected energy ... -30.02 eV for the cell shown
Total magnetic moment ... 0.0 μB/f.u.

Lattice parameters (Å, degrees): 4.7968 7.7722 7.7722 120.34 90.00 90.00
With the nearest neighbours (Å) after each atom.
Fractional coordinates of all 9 atoms:
La: 0.0000 0.0000 0.0000  4 Tl 3.35, 1 In 3.37, 2 Mg 3.49
Nd: 0.0000 0.4316 0.8603  4 Tl 3.31-3.32, 1 In 3.32, 2 Mg 3.52
Nd: 0.0000 0.8603 0.4316  4 Tl 3.31-3.32, 1 In 3.32, 2 Mg 3.52
Mg: 0.5000 0.1920 0.4332  2 Tl 2.98-3.02, 2 In 3.05, 2 Mg 3.22-3.25
Mg: 0.5000 0.4332 0.1920  2 Tl 2.98-3.02, 2 In 3.05, 2 Mg 3.22-3.25
Mg: 0.5000 0.6717 0.6717  2 In 3.01, 2 Tl 3.04, 2 Mg 3.22
Tl: 0.5000 0.1006 0.7628  3 Mg 2.98-3.04, 4 Nd 3.31-3.32
Tl: 0.5000 0.7628 0.1006  3 Mg 2.98-3.04, 4 Nd 3.31-3.32
In: 0.0000 0.4355 0.4355  6 Mg 3.01-3.05, 2 Nd 3.32, 1 La 3.37



Entry 14:
First-principles (PBE) data for a geometry-optimized LaMgInNi structure, as listed in OQMD.

Summary:
Volume ... 22.579 Å³ per atom
Uncorrected energy ... -15.60 eV for the cell shown
Total magnetic moment ... 0.0 μB/f.u.

Lattice parameters (Å, degrees): 5.0361 5.0361 5.0361 60.00 60.00 60.00
With the nearest neighbours (Å) after each atom.
Fractional coordinates of all 4 atoms:
La: 0.0000 0.0000 0.0000  4 In 3.08, 4 Ni 3.08
Mg: 0.5000 0.5000 0.5000  4 Ni 3.08, 4 In 3.08
In: 0.2500 0.2500 0.2500  4 La 3.08, 4 Mg 3.08
Ni: 0.7500 0.7500 0.7500  4 Mg 3.08, 4 La 3.08



Entry 15:
First-principles (PBE) data for a geometry-optimized LaMgInNi structure, as listed in OQMD.

Summary:
Volume ... 21.190 Å³ per atom
Uncorrected energy ... -15.79 eV for the cell shown
Total magnetic moment ... 0.0 μB/f.u.

Lattice parameters (Å, degrees): 4.9306 4.9306 4.9306 60.00 60.00 60.00
With the nearest neighbours (Å) after each atom.
Fractional coordinates of all 4 atoms:
La: 0.0000 0.0000 0.0000  4 Ni 3.02, 4 Mg 3.02
Mg: 0.2500 0.2500 0.2500  4 La 3.02, 4 In 3.02
In: 0.5000 0.5000 0.5000  4 Mg 3.02, 4 Ni 3.02
Ni: 0.7500 0.7500 0.7500  4 In 3.02, 4 La 3.02



Entry 16:
First-principles (PBE) data for a geometry-optimized LaMg4InNi2 structure, as listed in OQMD.

Summary:
Volume ... 28.739 Å³ per atom
Uncorrected energy ... -23.70 eV for the cell shown
Total magnetic moment ... 0.0 μB/f.u.

Lattice parameters (Å, degrees): 7.3640 8.1680 8.1680 27.90 90.00 90.00
With the nearest neighbours (Å) after each atom.
Fractional coordinates of all 8 atoms:
La: 0.0000 0.0000 0.0000  2 Ni 2.58
Mg: 0.2945 0.6776 0.6776  2 In 2.96, 3 Mg 3.03-3.22, 1 Ni 3.03
Mg: 0.3068 0.3383 0.3383  1 Ni 2.43
Mg: 0.6932 0.3383 0.3383  1 Ni 2.43
Mg: 0.7055 0.6776 0.6776  2 In 2.96, 3 Mg 3.03-3.22, 1 Ni 3.03
In: 0.0000 0.2040 0.2040  2 Ni 2.60
Ni: 0.0000 0.3944 0.3944  2 Ni 2.37, 2 Mg 2.43, 2 La 2.58
Ni: 0.0000 0.8115 0.8115  2 Ni 2.37, 2 In 2.60



Entry 17:
First-principles (PBE) data for a geometry-optimized La2Mg3InNi2 structure, as listed in OQMD.

Summary:
Volume ... 22.051 Å³ per atom
Uncorrected energy ... -31.08 eV for the cell shown
Total magnetic moment ... 0.0 μB/f.u.

Lattice parameters (Å, degrees): 5.4476 5.4476 8.1066 90.03 90.03 47.16
With the nearest neighbours (Å) after each atom.
Fractional coordinates of all 8 atoms:
La: 0.0000 0.0000 0.0000  1 Ni 2.76
La: 0.1111 0.1111 0.4970  1 Ni 2.75
Mg: 0.3992 0.3992 0.3039  3 Ni 2.76-2.77, 2 Mg 3.01
Mg: 0.7113 0.7113 0.1955  3 Ni 2.77-2.78, 2 Mg 3.01
Mg: 0.7126 0.7126 0.8046  3 Ni 2.75-2.76, 2 In 3.03
In: 0.4044 0.4044 0.6969  3 Ni 2.75-2.78, 2 Mg 3.03
Ni: 0.2768 0.2768 0.9981  1 In 2.75, 5 Mg 2.76-2.78, 1 La 2.76
Ni: 0.8358 0.8358 0.5007  1 La 2.75, 4 Mg 2.75-2.77, 2 In 2.78



Entry 18:
First-principles (PBE) data for a geometry-optimized LaMgInNi structure, as listed in OQMD.

Summary:
Volume ... 22.166 Å³ per atom
Uncorrected energy ... -15.12 eV for the cell shown
Total magnetic moment ... 0.0 μB/f.u.

Lattice parameters (Å, degrees): 5.0052 5.0052 5.0052 60.00 60.00 60.00
With the nearest neighbours (Å) after each atom.
Fractional coordinates of all 4 atoms:
La: 0.0000 0.0000 0.0000  4 In 3.07, 4 Mg 3.07
Mg: 0.2500 0.2500 0.2500  4 La 3.07, 4 Ni 3.07
In: 0.7500 0.7500 0.7500  4 La 3.07, 4 Ni 3.07
Ni: 0.5000 0.5000 0.5000  4 In 3.07, 4 Mg 3.07



Entry 19:
First-principles (PBE) data for a geometry-optimized LaMgIn4Pd2 structure, as listed in OQMD.

Summary:
Volume ... 22.819 Å³ per atom
Uncorrected energy ... -32.09 eV for the cell shown
Total magnetic moment ... 0.0 μB/f.u.

Lattice parameters (Å, degrees): 7.8750 5.6105 5.6105 47.43 90.00 90.00
With the nearest neighbours (Å) after each atom.
Fractional coordinates of all 8 atoms:
La: 0.0000 0.0000 0.0000  3 Pd 2.91-3.17
Mg: 0.5000 0.1317 0.1317  1 Pd 2.78
In: 0.2128 0.7070 0.7070  3 Pd 2.76-2.92, 1 In 3.02
In: 0.3072 0.4219 0.4219  3 Pd 2.79-2.81, 2 In 3.02-3.04
In: 0.6928 0.4219 0.4219  3 Pd 2.79-2.81, 2 In 3.02-3.04
In: 0.7872 0.7070 0.7070  3 Pd 2.76-2.92, 1 In 3.02
Pd: 0.0000 0.2835 0.2835  6 In 2.81-2.92, 1 La 2.91
Pd: 0.5000 0.8614 0.8614  6 In 2.76-2.79, 1 Mg 2.78



Entry 20:
First-principles (PBE) data for a geometry-optimized La3Mg3InPd2 structure, as listed in OQMD.

Summary:
Volume ... 25.210 Å³ per atom
Uncorrected energy ... -37.42 eV for the cell shown
Total magnetic moment ... 0.1 μB/f.u.

Lattice parameters (Å, degrees): 7.6383 7.6383 4.4904 90.00 90.00 120.00
With the nearest neighbours (Å) after each atom.
Fractional coordinates of all 9 atoms:
La: 0.0000 0.4294 0.0000  4 Pd 3.19, 1 In 3.28, 2 Mg 3.33
La: 0.4294 0.0000 0.0000  4 Pd 3.19, 1 In 3.28, 2 Mg 3.33
La: 0.5706 0.5706 0.0000  4 Pd 3.19, 1 In 3.28, 2 Mg 3.33
Mg: 0.0000 0.7522 0.5000  2 Pd 2.93, 2 In 2.94, 2 Mg 3.28
Mg: 0.2478 0.2478 0.5000  2 Pd 2.93, 2 In 2.94, 2 Mg 3.28
Mg: 0.7522 0.0000 0.5000  2 Pd 2.93, 2 In 2.94, 2 Mg 3.28
In: 0.0000 0.0000 0.0000  6 Mg 2.94, 3 La 3.28
Pd: 0.3333 0.6667 0.5000  3 Mg 2.93, 6 La 3.19
Pd: 0.6667 0.3333 0.5000  3 Mg 2.93, 6 La 3.19